(1)
The following is a PBE-GGA calculation of crystalline AlOs at its relaxed geometry, from OQMD via LeMat-Bulk.

```
8
Lattice="5.0342 0.0000 0.0000 0.0000 5.0342 0.0000 0.0000 0.0000 5.0342" Properties=species:S:1:pos:R:3 pbc="T T T"
Al 0.0000 0.0000 0.0000
Al 0.0000 2.5171 2.5171
Al 2.5171 0.0000 2.5171
Al 2.5171 2.5171 0.0000
Os 0.0000 0.0000 2.5171
Os 0.0000 2.5171 0.0000
Os 2.5171 0.0000 0.0000
Os 2.5171 2.5171 2.5171
```

Properties
As for the crystal system: cubic. The space group is Fm-3m (225). The total DFT energy (no corrections) is -6.76 eV/atom.


(2)
The following is a PBE-GGA calculation of crystalline Dy5SnTe5 at its relaxed geometry, from OQMD via LeMat-Bulk.

```
11
Lattice="6.8913 -3.0846 0.0000 6.8913 3.0846 0.0000 -2.7432 0.0000 8.2500" Properties=species:S:1:pos:R:3 pbc="T T T"
Dy 0.0000 0.0000 0.0000
Dy 4.1914 0.0000 1.3875
Dy 2.8169 0.0000 5.5273
Dy 8.2225 0.0000 2.7227
Dy 6.8481 0.0000 6.8625
Sn 6.8913 0.0000 0.0000
Te 0.0133 0.0000 6.8443
Te 1.3707 0.0000 2.7806
Te 5.5197 0.0000 4.1250
Te 9.6688 0.0000 5.4695
Te 11.0262 0.0000 1.4057
```

Properties
As for the crystal system: monoclinic. The space group is C2/m (12). The total DFT energy (no corrections) is -5.18 eV/atom.